## MgGaNi4 (PBE)

Data for a geometry-optimized MgGaNi4 structure.

Cell: 4.771 4.771 4.771 Å, 60.00 60.00 60.00°
Each line ends with the local moment (μB).
Fractional positions:
Ni (0.124, 0.625, 0.625)  0.16
Ni (0.625, 0.625, 0.625)  0.16
Ni (0.625, 0.625, 0.124)  0.16
Ni (0.625, 0.124, 0.625)  0.16
Mg (0.250, 0.250, 0.250)  0.00
Ga (0.000, 0.000, 0.000)  0.00

- total magnetization (μB/f.u.) = 0.62
- crystal system = cubic
- calculated volume (Å³ per cell) = 77
- formation energy from the elements (kJ/mol of atoms) = -16.7

=====

## Pr5AlCd4 (PBE)

Data for a geometry-optimized Pr5AlCd4 structure.

Cell: 3.824 3.824 19.642 Å, 90.00 90.00 90.00°
Each line ends with the local moment (μB).
Fractional positions:
Cd (0.000, 0.000, 0.399)  0.00
Cd (0.000, 0.000, 0.196)  0.01
Cd (0.000, 0.000, 0.601)  0.00
Cd (0.000, 0.000, 0.804)  0.01
Pr (0.500, 0.500, 0.908)  0.02
Pr (0.500, 0.500, 0.092)  0.02
Pr (0.500, 0.500, 0.500)  -0.09
Pr (0.500, 0.500, 0.297)  0.12
Pr (0.500, 0.500, 0.703)  0.12
Al (0.000, 0.000, 0.000)  0.00

- total magnetization (μB/f.u.) = 0.45
- crystal system = tetragonal
- calculated volume (Å³ per cell) = 287
- formation energy from the elements (kJ/mol of atoms) = -31.0

=====

## NpGeAu (PBE)

Data for a geometry-optimized NpGeAu structure.

Cell: 4.942 5.657 5.657 Å, 96.16 115.90 115.90°
Each line ends with the local moment (μB).
Fractional positions:
Ge (0.500, 0.839, 0.161)  -0.05
Ge (0.500, 0.161, 0.839)  -0.05
Np (0.747, 0.747, 0.747)  4.06
Np (0.253, 0.253, 0.253)  4.06
Au (0.000, 0.668, 0.332)  0.01
Au (0.000, 0.332, 0.668)  0.01

- total magnetization (μB/f.u.) = 4.17
- crystal system = orthorhombic
- calculated volume (Å³ per cell) = 119
- formation energy from the elements (kJ/mol of atoms) = -22.2

=====

## Nd2TlIr (PBE)

Data for a geometry-optimized Nd2TlIr structure.

Cell: 5.263 5.263 5.263 Å, 60.00 60.00 60.00°
Fractional positions:
Tl (0.000, 0.000, 0.000)
Nd (0.750, 0.750, 0.750)
Nd (0.250, 0.250, 0.250)
Ir (0.500, 0.500, 0.500)

- total magnetization (μB/f.u.) = 0.00
- crystal system = cubic
- calculated volume (Å³ per cell) = 103
- formation energy from the elements (kJ/mol of atoms) = -34.0

=====

## K2Rb3SrCl6 (PBE)

Data for a geometry-optimized K2Rb3SrCl6 structure.

Cell: 4.628 9.692 10.471 Å, 104.78 102.77 90.00°
Fractional positions:
K (0.833, 0.660, 0.665)
K (0.167, 0.340, 0.335)
Cl (0.997, 0.802, 0.995)
Cl (0.671, 0.577, 0.343)
Cl (0.350, 0.917, 0.699)
Cl (0.003, 0.198, 0.005)
Cl (0.329, 0.423, 0.657)
Cl (0.650, 0.083, 0.301)
Sr (0.500, 0.000, 0.000)
Rb (0.500, 0.500, 0.000)
Rb (0.169, 0.827, 0.339)
Rb (0.831, 0.173, 0.661)

- total magnetization (μB/f.u.) = 0.00
- crystal system = monoclinic
- raw formation energy (eV per atom) = -1.88
- calculated volume (Å³ per cell) = 442

=====

## SrSc2PSe (PBE)

Data for a geometry-optimized SrSc2PSe structure.

Cell: 5.645 5.198 5.645 Å, 90.00 90.00 90.00°
Fractional positions:
Se (0.000, 0.500, 0.000)
Sc (0.000, 0.000, 0.500)
Sc (0.500, 0.000, 0.000)
P (0.500, 0.500, 0.500)
Sr (0.000, 0.000, 0.000)

- total magnetization (μB/f.u.) = 0.00
- crystal system = tetragonal
- raw formation energy (eV per atom) = 1.17
- calculated volume (Å³ per cell) = 166